Density functional theory data (PBE) for a relaxed LiH2BrF crystal.

Magnetization: 0.00 μB per formula unit
Energy relative to the lowest polymorph listed for this composition: 392 meV per atom

a = 3.1446 Å, b = 3.4415 Å, c = 7.5285 Å
α = 80.44°, β = 80.23°, γ = 62.81°
With the nearest neighbours (Å) after each atom.
Positions (direct):
Li (0.2282, 0.0693, 0.6039)  3 F 1.91-1.97
H (0.4469, 0.8672, 0.9741)  2 Br 1.83-1.85, 1 H 1.91
H (0.3738, 0.7978, 0.2331)  2 Br 1.83-1.85, 1 H 1.91
Br (0.9061, 0.8334, 0.1039)  4 H 1.83-1.85
F (0.5508, 0.4251, 0.6031)  3 Li 1.91-1.97

Density functional theory data (PBE) for a relaxed NdHBrF crystal.

Magnetization: 0.00 μB per formula unit
Total DFT energy (no corrections): -19.8 eV for the cell shown

a = 3.9596 Å, b = 4.0375 Å, c = 6.0633 Å
α = 70.54°, β = 109.06°, γ = 90.00°
With the nearest neighbours (Å) after each atom.
Positions (direct):
Nd (0.6140, 0.1730, 0.2281)  2 H 2.17, 2 F 2.26
H (0.0305, 0.2568, 0.0609)  2 Nd 2.17
Br (0.2662, 0.5212, 0.5325)  4 H 3.24-3.46, 4 Nd 3.26-3.27, 4 F 3.30-3.39
F (0.5196, 0.7675, 0.0393)  2 Nd 2.26

Density functional theory data (PBE) for a relaxed HPbBrF2 crystal.

Magnetization: 0.00 μB per formula unit
Total DFT energy (no corrections): -41.2 eV for the cell shown

a = 4.3356 Å, b = 5.4285 Å, c = 7.5525 Å
α = 102.24°, β = 90.00°, γ = 90.00°
With the nearest neighbours (Å) after each atom.
Positions (direct):
H (0.7500, 0.6333, 0.6267)  1 F 1.03
H (0.2500, 0.3667, 0.3733)  1 F 1.03
Pb (0.7500, 0.8368, 0.2576)  5 F 2.64-2.88
Pb (0.2500, 0.1632, 0.7424)  5 F 2.64-2.88
Br (0.7500, 0.2674, 0.0537)  4 Pb 3.06-3.16, 2 H 3.20, 2 F 3.37
Br (0.2500, 0.7326, 0.9463)  4 Pb 3.06-3.16, 2 H 3.20, 2 F 3.37
F (0.2500, 0.5561, 0.3717)  1 H 1.03
F (0.2500, 0.1202, 0.3882)  1 H 1.37
F (0.7500, 0.8798, 0.6118)  1 H 1.37
F (0.7500, 0.4439, 0.6283)  1 H 1.03

Density functional theory data (PBE) for a relaxed PmHBrF crystal.

Magnetization: 0.00 μB per formula unit
Total DFT energy (no corrections): -19.8 eV for the cell shown

a = 3.9135 Å, b = 3.9792 Å, c = 6.1403 Å
α = 71.10°, β = 108.58°, γ = 90.00°
With the nearest neighbours (Å) after each atom.
Positions (direct):
Pm (0.6140, 0.1733, 0.2280)  2 H 2.15, 2 F 2.24
H (0.0321, 0.2551, 0.0643)  2 Pm 2.15
Br (0.2636, 0.5236, 0.5272)  4 H 3.22-3.53, 4 Pm 3.23-3.24, 4 F 3.30-3.44
F (0.5206, 0.7666, 0.0412)  2 Pm 2.24

Density functional theory data (PBE) for a relaxed H2PtBrF crystal.

Magnetization: 0.00 μB per formula unit
Total DFT energy (no corrections): -13.2 eV for the cell shown

a = 3.5042 Å, b = 7.2303 Å, c = 3.5042 Å
α = 90.00°, β = 90.00°, γ = 90.00°
With the nearest neighbours (Å) after each atom.
Positions (direct):
H (0.0000, 0.0000, 0.5000)  2 F 1.75
H (0.5000, 0.0000, 0.0000)  2 F 1.75
Br (0.5000, 0.5000, 0.5000)  4 Pt 2.48
Pt (0.0000, 0.5000, 0.0000)  4 Br 2.48
F (0.0000, 0.0000, 0.0000)  4 H 1.75

Density functional theory data (PBE) for a relaxed Rb2HBrF6 crystal.

Magnetization: 0.00 μB per formula unit
Energy relative to the lowest polymorph listed for this composition: 0 meV per atom

a = 6.6148 Å, b = 6.6623 Å, c = 5.7761 Å
α = 118.47°, β = 119.39°, γ = 91.05°
With the nearest neighbours (Å) after each atom.
Positions (direct):
Rb (0.7150, 0.2923, 0.4938)  7 F 2.82-3.14
Rb (0.2849, 0.7085, 0.5058)  7 F 2.82-3.14
H (0.4999, 0.5004, 0.9998)  2 F 1.16
Br (0.9999, 0.0004, 0.9998)  4 F 1.93-1.94
F (0.7918, 0.8811, 0.0825)  1 Br 1.93
F (0.5791, 0.5937, 0.2683)  1 H 1.16
F (0.2079, 0.1197, 0.9171)  1 Br 1.93
F (0.8734, 0.2678, 0.0524)  1 Br 1.94
F (0.4206, 0.4071, 0.7311)  1 H 1.16
F (0.1263, 0.7329, 0.9473)  1 Br 1.94